No. 1
A relaxed Sc5Al4Au crystal. Source: the Alexandria database, functional PBE.

a b c (Å): 3.4028 3.4028 16.7661
angles (deg): 90.00 90.00 90.00
Closest atoms and distances in Å follow each position.
Sites, in units of the cell vectors:
Sc: 0.5000 0.5000 0.0996  4 Au 2.93, 4 Al 2.96
Sc: 0.5000 0.5000 0.5000  8 Al 2.92
Sc: 0.5000 0.5000 0.9004  4 Au 2.93, 4 Al 2.96
Sc: 0.5000 0.5000 0.3015  8 Al 2.93
Sc: 0.5000 0.5000 0.6985  8 Al 2.93
Al: 0.0000 0.0000 0.7978  8 Sc 2.93-2.96
Al: 0.0000 0.0000 0.2022  8 Sc 2.93-2.96
Al: 0.0000 0.0000 0.4009  8 Sc 2.92-2.93
Al: 0.0000 0.0000 0.5991  8 Sc 2.92-2.93
Au: 0.0000 0.0000 0.0000  8 Sc 2.93

Computed properties:
Calculated formation energy in eV per atom: -0.5140
Size of the total moment in μB per formula unit: 0.0
Density in Mg/m³: 4.5
V in Å³/cell: 194.1



No. 2
A relaxed Sc2AlAu crystal. Source: the Alexandria database, functional PBE.

a b c (Å): 4.8538 4.8538 5.6151
angles (deg): 76.94 76.94 40.75
Closest atoms and distances in Å follow each position.
Sites, in units of the cell vectors:
Sc: 0.4952 0.4952 0.5002  3 Au 2.88-2.99, 3 Al 2.91-2.94
Sc: 0.0048 0.0048 0.9998  3 Au 2.88-2.99, 3 Al 2.91-2.94
Al: 0.2500 0.2500 0.2500  6 Sc 2.91-2.94
Au: 0.7500 0.7500 0.7500  6 Sc 2.88-2.99

Computed properties:
Calculated formation energy in eV per atom: -0.3743
Size of the total moment in μB per formula unit: 0.0
Density in Mg/m³: 6.2
V in Å³/cell: 83.8



No. 3
A relaxed Sc2AlAu crystal. Source: the Alexandria database, functional PBE.

a b c (Å): 9.1363 9.1363 9.1363
angles (deg): 20.98 20.98 20.98
Closest atoms and distances in Å follow each position.
Sites, in units of the cell vectors:
Al: 0.4913 0.4913 0.4913  3 Au 2.66
Au: 0.7559 0.7559 0.7559  3 Al 2.66, 3 Sc 2.89
Sc: 0.2442 0.2442 0.2442  3 Al 3.00, 9 Sc 3.25-3.33
Sc: 0.0087 0.0087 0.0087  3 Au 2.89

Computed properties:
Calculated formation energy in eV per atom: -0.2400
Size of the total moment in μB per formula unit: 0.8
Density in Mg/m³: 6.1
V in Å³/cell: 85.6



No. 4
A relaxed ScAl2Au crystal. Source: the Alexandria database, functional PBE.

a b c (Å): 9.0722 9.0722 9.0722
angles (deg): 19.94 19.94 19.94
Closest atoms and distances in Å follow each position.
Sites, in units of the cell vectors:
Al: 0.0065 0.0065 0.0065  3 Au 2.74, 3 Sc 3.01
Al: 0.4935 0.4935 0.4935  3 Au 2.74, 3 Sc 3.01
Sc: 0.2500 0.2500 0.2500  6 Al 3.01, 6 Sc 3.14
Au: 0.7500 0.7500 0.7500  6 Al 2.74

Computed properties:
Calculated formation energy in eV per atom: -0.2124
Size of the total moment in μB per formula unit: 0.4
Density in Mg/m³: 6.5
V in Å³/cell: 76.0



No. 5
A relaxed ScAl2Au crystal. Source: the Alexandria database, functional PBE.

a b c (Å): 3.1069 3.1068 7.4378
angles (deg): 90.00 90.00 90.00
Closest atoms and distances in Å follow each position.
Sites, in units of the cell vectors:
Sc: 0.5000 0.5000 0.7500  8 Al 3.00, 4 Sc 3.11
Au: 0.5000 0.5000 0.2500  8 Al 2.77
Al: 0.0000 0.0000 0.0237  4 Au 2.77, 4 Sc 3.00
Al: 0.0000 0.0000 0.4763  4 Au 2.77, 4 Sc 3.00

Computed properties:
Calculated formation energy in eV per atom: -0.4034
Size of the total moment in μB per formula unit: 0.4
Density in Mg/m³: 6.8
V in Å³/cell: 71.8



No. 6
A relaxed ScAl2Au crystal. Source: the Alexandria database, functional PBE.

a b c (Å): 5.0617 5.0626 5.0532
angles (deg): 131.58 131.57 70.71
Closest atoms and distances in Å follow each position.
Sites, in units of the cell vectors:
Sc: 0.2503 0.7497 0.5000  4 Au 2.92-2.93, 8 Al 2.92-2.94
Au: 0.5003 0.4998 0.0000  8 Al 2.92-2.94, 4 Sc 2.92-2.93
Al: 0.9993 0.0009 0.0001  4 Al 2.92-2.94, 4 Au 2.92-2.94, 4 Sc 2.92-2.93
Al: 0.7502 0.2497 0.5000  4 Al 2.92-2.94, 4 Au 2.92-2.93, 4 Sc 2.93-2.94

Computed properties:
Calculated formation energy in eV per atom: -0.4804
Size of the total moment in μB per formula unit: 0.0
Density in Mg/m³: 6.9
V in Å³/cell: 71.1



No. 7
A relaxed ScAlAu3 crystal. Source: the Alexandria database, functional PBE.

a b c (Å): 4.7771 4.7771 4.7771
angles (deg): 90.00 90.00 90.00
Closest atoms and distances in Å follow each position.
Sites, in units of the cell vectors:
Al: 0.0000 0.0000 0.0000  6 Au 2.39
Sc: 0.5000 0.5000 0.5000  12 Au 3.38
Au: 0.0000 0.5000 0.0000  2 Al 2.39
Au: 0.0000 0.0000 0.5000  2 Al 2.39
Au: 0.5000 0.0000 0.0000  2 Al 2.39

Computed properties:
Calculated formation energy in eV per atom: -0.0750
Size of the total moment in μB per formula unit: 0.0
Excess energy over the best structure of this formula in the dataset in eV per atom: 0.541
Density in Mg/m³: 10.1
V in Å³/cell: 109.0



No. 8
A relaxed Sc2Al4Au crystal. Source: the Alexandria database, functional PBE.

a b c (Å): 4.7788 4.7788 7.9354
angles (deg): 72.48 72.48 90.00
Closest atoms and distances in Å follow each position.
Sites, in units of the cell vectors:
Al: 0.5000 0.0000 0.0000  2 Au 2.39
Al: 0.0000 0.5000 0.0000  2 Au 2.39
Al: 0.8212 0.8212 0.3576  1 Au 2.57, 1 Sc 2.77
Al: 0.1788 0.1788 0.6424  1 Au 2.57, 1 Sc 2.77
Sc: 0.3716 0.3716 0.2568  5 Al 2.77-3.02
Sc: 0.6284 0.6284 0.7432  5 Al 2.77-3.02
Au: 0.0000 0.0000 0.0000  6 Al 2.39-2.57

Computed properties:
Calculated formation energy in eV per atom: 0.2039
Size of the total moment in μB per formula unit: 0.0
Density in Mg/m³: 4.0
V in Å³/cell: 164.0



No. 9
A relaxed Sc2AlAu crystal. Source: the Alexandria database, functional PBE.

a b c (Å): 4.8473 4.8473 3.3713
angles (deg): 89.97 89.97 96.38
Closest atoms and distances in Å follow each position.
Sites, in units of the cell vectors:
Sc: 0.5000 0.5000 0.0000  4 Al 2.95, 4 Au 2.95, 2 Sc 3.23
Sc: 0.0000 0.0000 0.0000  4 Au 2.95, 4 Al 2.95, 2 Sc 3.23
Au: 0.0000 0.5000 0.5000  8 Sc 2.95, 2 Al 3.23
Al: 0.5000 0.0000 0.5000  8 Sc 2.95, 2 Au 3.23

Computed properties:
Calculated formation energy in eV per atom: -0.5992
Size of the total moment in μB per formula unit: 0.0
Density in Mg/m³: 6.6
V in Å³/cell: 78.7



No. 10
A relaxed Sc2Al5Au3 crystal. Source: the Alexandria database, functional PBE.

a b c (Å): 4.2581 6.8564 12.5543
angles (deg): 90.00 99.76 90.00
Closest atoms and distances in Å follow each position.
Sites, in units of the cell vectors:
Al: 0.0519 0.5902 0.1039  4 Au 2.60-2.65, 1 Al 2.83
Al: 0.7077 0.0105 0.4154  3 Au 2.58-2.62, 2 Al 2.75-2.83
Al: 0.1200 0.2589 0.2399  4 Au 2.63-2.75, 1 Al 2.83
Al: 0.2923 0.5105 0.5846  3 Au 2.58-2.62, 2 Al 2.75-2.83
Al: 0.8800 0.7589 0.7601  4 Au 2.63-2.75, 1 Al 2.83
Al: 0.7073 0.4225 0.4146  4 Au 2.53-2.61, 1 Al 2.83
Al: 0.6014 0.8964 0.2027  3 Au 2.56-2.66, 1 Al 2.75
Al: 0.3986 0.3964 0.7973  3 Au 2.56-2.66, 1 Al 2.75
Al: 0.2927 0.9225 0.5854  4 Au 2.53-2.61, 1 Al 2.83
Al: 0.9481 0.0902 0.8961  4 Au 2.60-2.65, 1 Al 2.83
Au: 0.7743 0.7140 0.5485  7 Al 2.58-2.64
Au: 0.9517 0.4759 0.9033  5 Al 2.56-2.65
Au: 0.0483 0.9759 0.0967  5 Al 2.56-2.65
Au: 0.3923 0.0088 0.7845  6 Al 2.53-2.75, 1 Sc 2.81
Au: 0.2257 0.2140 0.4515  7 Al 2.58-2.64
Au: 0.6077 0.5088 0.2155  6 Al 2.53-2.75, 1 Sc 2.81
Sc: 0.5188 0.2542 0.0376  5 Au 2.81-3.10, 3 Al 2.98-3.13
Sc: 0.1734 0.7335 0.3468  9 Al 2.98-3.32, 4 Au 3.09-3.28
Sc: 0.8266 0.2335 0.6532  9 Al 2.98-3.32, 4 Au 3.09-3.28
Sc: 0.4812 0.7542 0.9624  5 Au 2.81-3.10, 3 Al 2.98-3.13

Computed properties:
Calculated formation energy in eV per atom: -0.6126
Size of the total moment in μB per formula unit: 0.0
Excess energy over the best structure of this formula in the dataset in eV per atom: 0.000
Density in Mg/m³: 7.5
V in Å³/cell: 361.2



No. 11
A relaxed Sc3Al2Au4 crystal. Source: the Alexandria database, functional PBE.

a b c (Å): 4.4960 5.6072 7.7123
angles (deg): 76.96 73.05 66.36
Closest atoms and distances in Å follow each position.
Sites, in units of the cell vectors:
Au: 0.0715 0.2515 0.6056  3 Al 2.55-2.79, 1 Au 2.82
Au: 0.2871 0.3586 0.0671  1 Al 2.53, 2 Au 2.79
Au: 0.9285 0.7485 0.3944  3 Al 2.55-2.79, 1 Au 2.82
Au: 0.7129 0.6414 0.9329  1 Al 2.53, 2 Au 2.79
Sc: 0.6554 0.3722 0.3170  8 Au 2.91-3.18, 4 Al 3.03-3.08, 2 Sc 3.15-3.20
Sc: 0.0000 0.0000 0.0000  8 Au 2.99-3.27, 4 Al 3.19, 2 Sc 3.20
Sc: 0.3446 0.6278 0.6830  8 Au 2.91-3.18, 4 Al 3.03-3.08, 2 Sc 3.15-3.20
Al: 0.6364 0.0359 0.6913  4 Au 2.53-2.79
Al: 0.3636 0.9641 0.3087  4 Au 2.53-2.79

Computed properties:
Calculated formation energy in eV per atom: -0.7375
Size of the total moment in μB per formula unit: 0.0
Density in Mg/m³: 9.6
V in Å³/cell: 169.1



No. 12
A relaxed ScAl2Au crystal. Source: the Alexandria database, functional PBE.

a b c (Å): 4.6656 4.6656 4.6656
angles (deg): 60.00 60.00 60.00
Closest atoms and distances in Å follow each position.
Sites, in units of the cell vectors:
Al: 0.2500 0.2500 0.2500  4 Al 2.86, 4 Au 2.86
Al: 0.0000 0.0000 0.0000  4 Al 2.86, 4 Sc 2.86
Sc: 0.7500 0.7500 0.7500  4 Al 2.86, 4 Au 2.86
Au: 0.5000 0.5000 0.5000  4 Al 2.86, 4 Sc 2.86

Computed properties:
Calculated formation energy in eV per atom: -0.4185
Size of the total moment in μB per formula unit: 0.0
Density in Mg/m³: 6.8
V in Å³/cell: 71.8



No. 13
A relaxed ScAl2Au crystal. Source: the Alexandria database, functional PBE.

a b c (Å): 9.0991 9.0991 9.0991
angles (deg): 19.87 19.87 19.87
Closest atoms and distances in Å follow each position.
Sites, in units of the cell vectors:
Sc: 0.2478 0.2478 0.2478  3 Au 2.92, 3 Al 2.99, 6 Sc 3.14
Au: 0.4958 0.4958 0.4958  3 Al 2.73, 3 Sc 2.92
Al: 0.7530 0.7530 0.7530  3 Au 2.73, 3 Al 2.87
Al: 0.0034 0.0034 0.0034  9 Al 2.87-3.14, 3 Sc 2.99

Computed properties:
Calculated formation energy in eV per atom: -0.2111
Size of the total moment in μB per formula unit: 0.0
Density in Mg/m³: 6.5
V in Å³/cell: 76.1